A relaxed structure of K2SrCr, computed with GGA-PBE.

```
K2SrCr
1.0
3.709 -6.355 0.000
3.709 6.355 0.000
0.000 0.000 4.153
K Sr Cr
2 1 1
Direct
0.000 0.500 0.000
0.500 0.000 0.000
0.000 0.000 0.500
0.500 0.500 0.500
```

Calculated values
The value obtained for the total magnetization is 5.02 Bohr magnetons per cell. The value obtained for the formation energy is 0.737 eV per atom.